No. 1
The following is a GGA-PBE calculation of an optimized crystal structure of CrHCl2, from Alexandria.

POSCAR file:
```
CrHCl2
1.0
0.000 2.916 2.916
2.916 0.000 2.916
2.916 2.916 0.000
Cr H Cl
1 1 2
direct
0.000 0.000 0.000
0.500 0.500 0.500
0.250 0.250 0.250
0.750 0.750 0.750
```



No. 2
The following is a GGA-PBE calculation of an optimized crystal structure of CrH12IN4Cl2, from Alexandria.

POSCAR file:
```
CrH12IN4Cl2
1.0
4.777 -4.131 0.000
4.777 4.131 0.000
-2.846 0.000 6.861
Cr H I N Cl
1 12 1 4 2
direct
0.000 0.000 0.000
0.085 0.355 0.301
0.119 0.570 0.865
0.171 0.708 0.726
0.292 0.829 0.274
0.355 0.085 0.301
0.430 0.881 0.135
0.570 0.119 0.865
0.645 0.915 0.699
0.708 0.171 0.726
0.829 0.292 0.274
0.881 0.430 0.135
0.915 0.645 0.699
0.500 0.500 0.500
0.060 0.699 0.801
0.301 0.940 0.199
0.699 0.060 0.801
0.940 0.301 0.199
0.186 0.186 0.869
0.814 0.814 0.131
```



No. 3
The following is a GGA-PBE calculation of an optimized crystal structure of KCrH2Cl8, from Alexandria.

POSCAR file:
```
KCrH2Cl8
1.0
6.217 0.000 0.000
1.563 6.298 0.000
1.396 2.095 8.385
K Cr H Cl
1 1 2 8
direct
0.000 0.000 0.000
0.000 0.000 0.500
0.441 0.737 0.267
0.559 0.263 0.733
0.082 0.227 0.261
0.088 0.227 0.624
0.359 0.809 0.497
0.490 0.704 0.122
0.510 0.296 0.878
0.641 0.191 0.503
0.912 0.773 0.376
0.918 0.773 0.739
```



no.,E (eV/atom),total moment (μB/atom)
1,-3.612,0.0000
2,-5.014,0.1500
3,-3.495,0.0758